(1)
An optimized crystal structure of CuTc2Ru. Source: Alexandria, functional PBE.

Output
DOS at the Fermi energy = 7.38 states/eV/cell
Offset from the most stable computed form = 0.056 eV/atom

a = 9.083 Å, b = 2.716 Å, c = 4.593 Å
α = 90.00°, β = 100.17°, γ = 90.00°
Space group C2/m (No. 12)
Asymmetric unit:
Cu  0.000  0.000  0.000 x2
Tc  0.246  0.000  0.745 x4
Ru  0.000  0.500  0.500 x2

---

(2)
An optimized crystal structure of CuTcRu2. Source: Alexandria, functional PBE.

Output
DOS at the Fermi energy = 5.39 states/eV/cell
Offset from the most stable computed form = 0.055 eV/atom

a = 2.741 Å, b = 2.741 Å, c = 7.320 Å
α = 90.00°, β = 90.00°, γ = 90.00°
Space group P4/mmm (No. 123)
Asymmetric unit:
Cu  0.000  0.000  0.000 x1
Tc  0.000  0.000  0.500 x1
Ru  0.500  0.500  0.247 x2

---

(3)
An optimized crystal structure of CuTcRu. Source: Alexandria, functional PBE.

Output
DOS at the Fermi energy = 10.09 states/eV/cell
Offset from the most stable computed form = 0.058 eV/atom

a = 4.607 Å, b = 8.054 Å, c = 4.649 Å
α = 90.00°, β = 108.85°, γ = 90.00°
Space group C2 (No. 5)
Asymmetric unit:
Cu  0.000  0.000  0.000 x2
Cu  0.000  0.153  0.500 x2
Tc  0.000  0.334  0.000 x2
Tc  0.000  0.670  0.000 x2
Ru  0.000  0.484  0.500 x2
Ru  0.000  0.817  0.500 x2

---

(4)
An optimized crystal structure of Cu2TcRu. Source: Alexandria, functional PBE.

Output
DOS at the Fermi energy = 3.48 states/eV/cell
Offset from the most stable computed form = 0.029 eV/atom

a = 2.726 Å, b = 3.708 Å, c = 5.281 Å
α = 90.00°, β = 90.00°, γ = 90.00°
Space group Pmm2 (No. 25)
Asymmetric unit:
Cu  0.000  0.000  0.000 x1
Cu  0.500  0.500  0.218 x1
Tc  0.500  0.500  0.722 x1
Ru  0.000  0.000  0.497 x1

---

(5)
An optimized crystal structure of Cu2TcRu. Source: Alexandria, functional PBE.

Output
DOS at the Fermi energy = 21.13 states/eV/cell
Offset from the most stable computed form = 0.173 eV/atom

a = 5.982 Å, b = 5.982 Å, c = 5.982 Å
α = 90.00°, β = 90.00°, γ = 90.00°
Space group F-43m (No. 216)
Asymmetric unit:
Cu  0.000  0.000  0.000 x4
Cu  0.250  0.250  0.250 x4
Tc  0.000  0.000  0.500 x4
Ru  0.250  0.250  0.750 x4

---

(6)
An optimized crystal structure of CuTc2Ru. Source: Alexandria, functional PBE.

Output
DOS at the Fermi energy = 8.52 states/eV/cell
Offset from the most stable computed form = 0.061 eV/atom

a = 5.284 Å, b = 7.784 Å, c = 2.694 Å
α = 90.00°, β = 90.00°, γ = 90.00°
Space group Cmmm (No. 65)
Asymmetric unit:
Cu  0.000  0.000  0.000 x2
Tc  0.250  0.250  0.500 x4
Ru  0.000  0.500  0.000 x2

---

Let's list energy relative to the elements in order: 79.1, 69.3, 48.1, 60.3, 115.9, 80.8 kJ/mol of formula units.